VASP calculation (GGA-PBE) on a relaxed CaLa2GaTc crystal.

The value obtained for the total magnetization is 0.0 μB per cell. The value obtained for the total energy is -5.124 eV/atom. The mass density is 5.29 g/cm³.

The structure belongs to space group P4/mmm (No. 123); the cell edges are 5.4324, 5.4324 and 5.1646 Å and the angles 90.00°, 90.00° and 90.00°. Symmetry generates all atoms from Ca at (0.0000, 0.0000, 0.0000), La at (0.0000, 0.5000, 0.5000), Ga at (0.5000, 0.5000, 0.0000) and Tc at (0.5000, 0.5000, 0.5000).